## Nd5ErS8 (GGA-PBEsol)

Data for a relaxed Nd5ErS8 crystal.

Structure (POSCAR):
```
Nd5ErS8
1.0
-4.183 4.183 4.228
4.183 -4.183 4.228
4.183 4.183 -4.228
Nd Er S
5 1 8
Direct
0.000 0.000 0.000
0.255 0.626 0.130
0.374 0.505 0.630
0.495 0.125 0.870
0.875 0.745 0.370
0.750 0.250 0.500
0.114 0.223 0.743
0.124 0.720 0.750
0.280 0.030 0.404
0.480 0.370 0.257
0.627 0.876 0.596
0.630 0.886 0.109
0.777 0.520 0.891
0.970 0.373 0.250
```

Computed properties:
* ΔE_f (raw): -2.096 eV per atom
* D(E_F): 7.672 states/eV per cell
* space-group type: I-4, No. 82
* theoretical density: 6.4 Mg/m³
* size of the total moment: 0.00 μB per formula unit